VNiGe | PBE | relaxed

Results
- Density: 7.8 Mg/m³
- E_tot: -40.81 eV/cell
- D(E_F): 4.414 states/eV/cell

The structure in CIF format:
```
data_VNiGe
_symmetry_space_group_name_H-M 'P 1 21/m 1'
_symmetry_Int_Tables_number 11
_cell_length_a 2.789
_cell_length_b 4.083
_cell_length_c 6.835
_cell_angle_alpha 90.00
_cell_angle_beta 95.84
_cell_angle_gamma 90.00
loop_
_symmetry_equiv_pos_as_xyz
'x,y,z'
'-x,-y,-z'
'-x,y+1/2,-z'
'x,-y+1/2,z'
loop_
_atom_site_label
_atom_site_type_symbol
_atom_site_fract_x
_atom_site_fract_y
_atom_site_fract_z
V1 V 0.151 0.250 0.101
Ni1 Ni 0.263 0.750 0.563
Ge1 Ge 0.328 0.250 0.746
```